TaAg2Se | GGA-PBE | optimized geometry

```
data_TaAg2Se
_cell_length_a 3.839
_cell_length_b 3.839
_cell_length_c 4.973
_cell_angle_alpha 90.00
_cell_angle_beta 90.00
_cell_angle_gamma 90.00
_symmetry_space_group_name_H-M 'P 1'
_symmetry_Int_Tables_number 1
loop_
_symmetry_equiv_pos_as_xyz
'x,y,z'
loop_
_atom_site_label
_atom_site_fract_x
_atom_site_fract_y
_atom_site_fract_z
Ta1 0.000 0.500 0.500
Ag1 0.000 0.000 0.000
Se1 0.500 0.000 0.500
Ag2 0.500 0.500 0.000
```

Properties
Total magnetization in μB per cell: 0.00
Density of states at the Fermi level in states/eV/f.u.: 3.524
Electronic total energy in hartree per atom: -0.179
Space-group type: P4/mmm (123)
E_form (uncorrected) in eV per atom: 0.39